(1)
{"formula": "CsHf3N5", "functional": "PBE", "state": "relaxed", "total_magnetization_mub_per_fu": 1.982, "e_tot_ev_per_atom": -8.168, "spacegroup": "P6/mmm (191)", "lattice_angstrom": [[-3.985, 1.867, 3.490], [-0.490, -5.069, -2.368], [3.198, -2.686, 5.089]], "species": ["Hf", "N", "N", "Hf", "Cs", "Hf", "N", "N", "N"], "fractional_positions": [[0.000, 0.500, 0.500], [0.333, 0.667, 0.704], [0.667, 0.333, 0.704], [0.500, 0.500, 0.500], [0.000, 0.000, 0.000], [0.500, 0.000, 0.500], [0.000, 0.000, 0.500], [0.333, 0.667, 0.296], [0.667, 0.333, 0.296]]}


(2)
{"formula": "CsNaHf", "functional": "PBE", "state": "relaxed", "total_magnetization_mub_per_fu": 2.232, "polymorph_energy_mev_per_atom": 0, "e_tot_ev_per_atom": -2.414, "spacegroup": "F-43m (216)", "lattice_angstrom": [[-3.802, 1.838, 4.123], [-5.780, 0.164, -1.179], [-3.648, -3.856, 2.579]], "species": ["Na", "Cs", "Hf"], "fractional_positions": [[0.750, 0.750, 0.750], [0.250, 0.250, 0.250], [0.000, 0.000, 0.000]]}


(3)
{"formula": "CsNaHf", "functional": "PBE", "state": "relaxed", "total_magnetization_mub_per_fu": 1.497, "polymorph_energy_mev_per_atom": 157, "e_tot_ev_per_atom": -2.256, "spacegroup": "F-43m (216)", "lattice_angstrom": [[-1.448, 0.748, 5.436], [-4.618, -2.557, 2.084], [0.546, -4.272, 3.696]], "species": ["Na", "Cs", "Hf"], "fractional_positions": [[0.750, 0.750, 0.750], [0.000, 0.000, 0.000], [0.250, 0.250, 0.250]]}


(4)
{"formula": "CsNaHfS3", "functional": "PBE", "state": "relaxed", "total_magnetization_mub_per_fu": 0.002, "e_tot_ev_per_atom": -5.447, "spacegroup": "Pnma (62)", "lattice_angstrom": [[-13.447, -7.793, -0.665], [1.879, -3.121, -1.413], [1.606, -3.639, 10.174]], "species": ["Na", "S", "Cs", "Cs", "S", "S", "Hf", "Hf", "Cs", "S", "S", "S", "S", "S", "Hf", "Cs", "Na", "Na", "S", "Hf", "S", "S", "Na", "S"], "fractional_positions": [[0.530, 0.750, 0.913], [0.382, 0.250, 0.289], [0.761, 0.750, 0.468], [0.239, 0.250, 0.532], [0.118, 0.750, 0.789], [0.618, 0.750, 0.711], [0.013, 0.250, 0.844], [0.987, 0.750, 0.156], [0.261, 0.750, 0.032], [0.579, 0.250, 0.435], [0.421, 0.750, 0.565], [0.575, 0.750, 0.157], [0.882, 0.250, 0.211], [0.425, 0.250, 0.843], [0.513, 0.250, 0.656], [0.739, 0.250, 0.968], [0.470, 0.250, 0.087], [0.030, 0.750, 0.587], [0.079, 0.250, 0.065], [0.487, 0.750, 0.344], [0.921, 0.750, 0.935], [0.075, 0.750, 0.343], [0.970, 0.250, 0.413], [0.925, 0.250, 0.657]]}


(5)
{"formula": "CsNaHfS3", "functional": "PBE", "state": "relaxed", "total_magnetization_mub_per_fu": 0.003, "e_tot_ev_per_atom": -5.446, "spacegroup": "P2_1/m (11)", "lattice_angstrom": [[9.086, 0.000, 0.000], [0.000, 3.909, 0.000], [-3.548, 0.000, 9.401]], "species": ["S", "S", "Na", "Cs", "Hf", "S", "Hf", "S", "S", "Na", "S", "Cs"], "fractional_positions": [[0.526, 0.750, 0.868], [0.245, 0.250, 0.592], [0.053, 0.750, 0.611], [0.756, 0.250, 0.738], [0.671, 0.750, 0.145], [0.845, 0.250, 0.113], [0.329, 0.250, 0.855], [0.755, 0.750, 0.408], [0.155, 0.750, 0.887], [0.947, 0.250, 0.389], [0.474, 0.250, 0.132], [0.244, 0.750, 0.262]]}


(6)
{"formula": "CsNaHfSe3", "functional": "PBE", "state": "relaxed", "total_magnetization_mub_per_fu": 0.002, "e_tot_ev_per_atom": -5.000, "spacegroup": "P2_1/m (11)", "lattice_angstrom": [[-4.246, 8.194, 1.205], [-1.576, -1.332, 3.503], [9.483, 0.113, 4.309]], "species": ["Cs", "Hf", "Se", "Hf", "Se", "Se", "Cs", "Na", "Se", "Na", "Se", "Se"], "fractional_positions": [[0.259, 0.250, 0.233], [0.827, 0.250, 0.353], [0.031, 0.750, 0.367], [0.173, 0.750, 0.647], [0.969, 0.250, 0.633], [0.354, 0.250, 0.614], [0.741, 0.750, 0.767], [0.559, 0.750, 0.108], [0.246, 0.750, 0.914], [0.441, 0.250, 0.892], [0.646, 0.750, 0.386], [0.754, 0.250, 0.086]]}


(7)
{"formula": "CsNaHfSe3", "functional": "PBE", "state": "relaxed", "total_magnetization_mub_per_fu": 0.001, "e_tot_ev_per_atom": -5.001, "spacegroup": "Pnma (62)", "lattice_angstrom": [[-4.399, -9.616, -12.097], [-2.184, -2.247, 2.581], [-9.013, 6.547, -1.927]], "species": ["Se", "Se", "Se", "Se", "Cs", "Na", "Na", "Se", "Hf", "Cs", "Hf", "Hf", "Se", "Hf", "Se", "Se", "Se", "Cs", "Cs", "Se", "Se", "Na", "Na", "Se"], "fractional_positions": [[0.418, 0.750, 0.344], [0.582, 0.250, 0.656], [0.379, 0.750, 0.788], [0.082, 0.250, 0.844], [0.764, 0.250, 0.962], [0.473, 0.750, 0.588], [0.027, 0.250, 0.088], [0.918, 0.750, 0.156], [0.987, 0.250, 0.658], [0.264, 0.250, 0.538], [0.487, 0.250, 0.842], [0.013, 0.750, 0.342], [0.621, 0.250, 0.212], [0.513, 0.750, 0.158], [0.582, 0.750, 0.934], [0.918, 0.250, 0.434], [0.082, 0.750, 0.566], [0.236, 0.750, 0.038], [0.736, 0.750, 0.462], [0.879, 0.750, 0.712], [0.418, 0.250, 0.066], [0.527, 0.250, 0.412], [0.973, 0.750, 0.912], [0.121, 0.250, 0.288]]}


(8)
{"formula": "CsHfNb", "functional": "PBE", "state": "relaxed", "total_magnetization_mub_per_fu": 1.805, "polymorph_energy_mev_per_atom": 0, "e_tot_ev_per_atom": -4.954, "spacegroup": "F-43m (216)", "lattice_angstrom": [[-3.936, 0.140, 3.125], [-4.615, -1.006, -1.723], [-2.306, -4.265, 1.331]], "species": ["Nb", "Cs", "Hf"], "fractional_positions": [[0.250, 0.250, 0.250], [0.500, 0.500, 0.500], [0.000, 0.000, 0.000]]}


(9)
{"formula": "CsHfNb", "functional": "PBE", "state": "relaxed", "total_magnetization_mub_per_fu": 1.236, "polymorph_energy_mev_per_atom": 528, "e_tot_ev_per_atom": -4.426, "spacegroup": "F-43m (216)", "lattice_angstrom": [[0.000, 3.403, 3.403], [3.403, 0.000, 3.403], [3.403, 3.403, 0.000]], "species": ["Cs", "Hf", "Nb"], "fractional_positions": [[0.000, 0.000, 0.000], [0.250, 0.250, 0.250], [0.750, 0.750, 0.750]]}


(10)
{"formula": "Cs2HfNbS6", "functional": "PBE", "state": "relaxed", "total_magnetization_mub_per_fu": 0.007, "e_tot_ev_per_atom": -5.716, "spacegroup": "R3m (160)", "lattice_angstrom": [[-6.812, 0.732, -1.799], [-4.861, 1.347, 4.973], [-3.090, 6.366, 0.312]], "species": ["Cs", "S", "S", "S", "S", "Hf", "S", "Cs", "Nb", "S"], "fractional_positions": [[0.250, 0.250, 0.250], [0.754, 0.753, 0.247], [0.246, 0.752, 0.247], [0.753, 0.247, 0.754], [0.247, 0.246, 0.752], [0.500, 0.500, 0.500], [0.752, 0.247, 0.246], [0.750, 0.750, 0.750], [0.000, 0.000, 0.000], [0.247, 0.754, 0.753]]}